Computed, not measured: a relaxed AcTmRhAu crystal at the PBE level of DFT.

## Properties
- Calculated formation energy: -15.4 kcal/mol of atoms
- Total energy: -0.40198 Ry/atom

```
4
Lattice="-1.004 4.711 1.887 -4.833 1.843 -0.083 -2.650 0.508 4.413" Properties=species:S:1:pos:R:3 pbc="T T T"
Ac -6.365 5.296 4.663
Tm -2.122 1.765 1.554
Au 0.000 0.000 0.000
Rh -4.244 3.531 3.109
```

=====

Computed, not measured: a relaxed KY2MnAu crystal at the PBE level of DFT.

## Properties
- Calculated formation energy: 35.1 kcal/mol of atoms
- Total energy: -0.27738 Ry/atom

```
5
Lattice="-5.014 -1.286 1.297 0.015 -2.955 -2.873 1.826 -3.490 3.599" Properties=species:S:1:pos:R:3 pbc="T T T"
K 0.000 0.000 0.000
Y -2.507 -0.643 0.648
Au -1.587 -3.866 1.011
Y 0.913 -1.745 1.800
Mn 0.007 -1.478 -1.437
```

=====

Computed, not measured: a relaxed Tb2Ho6TmTh crystal at the PBE level of DFT.

## Properties
- Calculated formation energy: 3.5 kcal/mol of atoms
- Total energy: -0.34626 Ry/atom

```
20
Lattice="8.636 -1.677 -1.740 1.093 8.617 -2.019 1.093 -2.337 8.537" Properties=species:S:1:pos:R:3 pbc="T T T"
Ho 3.420 2.204 7.035
Ho 4.982 -0.869 6.214
Ho 1.523 -0.800 6.285
Ho 7.403 2.399 -2.258
Tb 5.416 4.535 3.451
Th 3.252 7.815 -2.086
Ho 5.841 5.472 -1.437
Tm 3.252 1.871 3.642
Tb 1.089 2.161 0.987
Ho 7.738 6.110 1.593
Tm 7.570 2.732 1.135
Ho 9.300 5.403 -1.508
Ho 4.326 3.155 0.605
Ho 3.085 -1.507 3.184
Tb 9.734 2.442 3.790
Ho 8.644 -0.351 2.305
Ho 2.179 4.954 2.472
Th 7.570 -3.212 6.862
Tb 5.407 0.068 1.325
Ho 6.497 1.448 4.172
```

=====

Computed, not measured: a relaxed ZnRePCl2 crystal at the PBE level of DFT.

## Properties
- Raw formation energy: 1.75 eV per formula unit
- Total energy: -0.30987 Ry/atom
- Relative energy among the computed polymorphs: 0 meV per atom

```
5
Lattice="4.915 0.000 0.000 0.000 4.915 0.000 0.000 0.000 4.631" Properties=species:S:1:pos:R:3 pbc="T T T"
P 0.000 0.000 2.315
Re 0.000 0.000 0.000
Zn 2.458 2.458 2.315
Cl 0.000 2.458 0.000
Cl 2.458 0.000 0.000
```

=====

Computed, not measured: a relaxed Tb3TlNi crystal at the PBE level of DFT.

## Properties
- Calculated formation energy: -6.9 kcal/mol of atoms
- Total energy: -0.34606 Ry/atom
- Relative energy among the computed polymorphs: 0 meV per atom

```
10
Lattice="-1.620 -0.686 -3.519 -6.418 -3.950 3.725 -1.410 8.500 -1.009" Properties=species:S:1:pos:R:3 pbc="T T T"
Tb -1.800 1.290 -2.722
Tb -4.599 5.891 -2.331
Tb -7.649 2.572 1.919
Ni -2.462 4.186 -2.982
Ni -6.987 -0.324 2.180
Tb -6.182 0.393 -0.530
Tb -3.266 3.470 -0.273
Tl -2.897 0.284 0.178
Tb -4.849 -2.028 1.528
Tl -6.552 3.579 -0.981
```

=====

Computed, not measured: a relaxed Sm2TmSb3 crystal at the PBE level of DFT.

## Properties
- Raw formation energy: -6.81 eV per formula unit
- Total energy: -0.40525 Ry/atom

```
6
Lattice="4.429 0.000 0.000 0.000 6.264 0.000 -2.215 -3.132 6.637" Properties=species:S:1:pos:R:3 pbc="T T T"
Sm 0.000 3.132 4.405
Sm 2.215 0.000 2.231
Sb 2.215 3.132 2.147
Tm 0.000 3.132 0.000
Sb 0.000 0.000 4.490
Sb 0.000 0.000 0.000
```

=====

Computed, not measured: a relaxed DyScAg2 crystal at the PBE level of DFT.

## Properties
- Calculated formation energy: -6.4 kcal/mol of atoms
- Total energy: -0.32605 Ry/atom
- Relative energy among the computed polymorphs: 11 meV per atom

```
4
Lattice="-1.599 -3.893 2.720 3.288 -2.801 2.539 0.137 0.215 5.004" Properties=species:S:1:pos:R:3 pbc="T T T"
Ag 1.370 -4.860 7.697
Ag 0.457 -1.620 2.566
Dy 0.000 0.000 0.000
Sc 0.913 -3.240 5.131
```

=====

Computed, not measured: a relaxed Dy2Er6PuSc3 crystal at the PBE level of DFT.

## Properties
- Calculated formation energy: 1.4 kcal/mol of atoms
- Total energy: -0.42357 Ry/atom

```
12
Lattice="5.978 -0.001 -0.003 -2.988 5.178 -0.003 -0.995 -1.723 11.140" Properties=species:S:1:pos:R:3 pbc="T T T"
Er 2.981 1.743 8.278
Er 0.020 3.454 8.278
Er -0.986 1.711 2.857
Sc 3.981 0.004 5.567
Sc 0.998 1.727 5.567
Dy 0.001 3.451 -0.003
Er -0.008 -0.013 8.277
Er 2.003 3.467 2.857
Pu 0.000 0.000 0.000
Dy 2.988 1.726 -0.003
Er 1.975 0.001 2.857
Sc -1.986 3.450 5.567
```

=====

Computed, not measured: a relaxed SiAsP2 crystal at the PBE level of DFT.

## Properties
- Raw formation energy: 2.30 eV per formula unit
- Total energy: -0.34164 Ry/atom
- Relative energy among the computed polymorphs: 474 meV per atom

```
4
Lattice="-3.587 -4.981 -0.363 -1.458 -3.756 -4.645 4.456 2.936 3.055" Properties=species:S:1:pos:R:3 pbc="T T T"
P 0.000 0.000 0.000
P 0.238 -2.594 -2.047
Si -2.523 -4.368 -2.504
As -0.827 -3.207 0.094
```

=====

Computed, not measured: a relaxed MgCd2Co2 crystal at the PBE level of DFT.

## Properties
- Calculated formation energy: 6.2 kcal/mol of atoms
- Total energy: -0.23959 Ry/atom
- Relative energy among the computed polymorphs: 37 meV per atom

```
5
Lattice="-1.716 2.542 1.053 0.580 -0.879 3.067 6.766 5.771 2.089" Properties=species:S:1:pos:R:3 pbc="T T T"
Cd 4.429 5.411 4.142
Cd 1.200 2.023 2.067
Co 2.241 4.572 2.601
Co 3.388 2.862 3.608
Mg 0.000 0.000 0.000
```

=====

Computed, not measured: a relaxed U4Ag2S9 crystal at the PBE level of DFT.

## Properties
- Raw formation energy: -15.25 eV per formula unit
- Total energy: -0.50592 Ry/atom

```
30
Lattice="-3.385 2.018 -5.493 1.002 -3.108 -5.919 -13.773 -12.126 4.033" Properties=species:S:1:pos:R:3 pbc="T T T"
S -7.479 -8.940 -1.604
U -1.806 -0.918 -7.544
S -14.553 -10.932 -2.141
Ag -8.128 -2.159 -4.104
S -3.224 0.182 -3.364
S -9.081 -6.481 0.317
S -7.074 -6.735 -7.696
S -13.367 -8.120 -4.386
S -5.381 -2.681 -4.590
S -15.248 -11.277 -5.550
S -9.811 -6.788 -3.100
S -4.528 -2.393 -0.809
U -6.005 -4.615 -6.314
Ag -8.028 -11.057 -3.274
S -6.344 -6.428 -4.279
U -14.350 -12.298 0.166
Ag -14.975 -8.188 -2.100
U -12.908 -10.692 -4.293
S -11.628 -10.823 -6.569
U -7.469 -6.240 -1.849
U -3.248 -2.524 -3.085
S -12.931 -13.398 -4.015
S -2.789 -5.096 -2.993
U -10.151 -8.601 -1.064
Ag -1.180 -5.028 -5.279
S -1.602 -2.284 -5.238
S -0.908 -1.939 -1.829
S -10.775 -10.535 -2.789
S -8.677 -4.276 -5.774
U -8.686 -6.976 -5.529
```

=====

Computed, not measured: a relaxed KTe2WI crystal at the PBE level of DFT.

## Properties
- Raw formation energy: 10.81 eV per formula unit
- Total energy: -0.16280 Ry/atom
- Relative energy among the computed polymorphs: 2165 meV per atom

```
5
Lattice="5.823 0.000 0.000 0.000 5.823 0.000 0.000 0.000 5.794" Properties=species:S:1:pos:R:3 pbc="T T T"
Te 0.000 2.912 0.000
K 0.000 0.000 0.000
I 0.000 0.000 2.897
W 2.912 2.912 2.897
Te 2.912 0.000 0.000
```

=====

Computed, not measured: a relaxed La4Er4Tm crystal at the PBE level of DFT.

## Properties
- Calculated formation energy: 0.7 kcal/mol of atoms
- Total energy: -0.34416 Ry/atom
- Relative energy among the computed polymorphs: 0 meV per atom

```
9
Lattice="-1.706 -4.470 1.812 6.158 -3.862 3.492 -2.535 1.111 7.574" Properties=species:S:1:pos:R:3 pbc="T T T"
Er 0.088 -3.892 4.925
La 0.431 -4.443 11.108
Er 1.830 -3.329 7.953
Er 0.389 -0.562 6.200
La 4.743 -4.980 6.623
Tm 0.000 0.000 0.000
La -2.826 -2.241 6.256
La 1.487 -2.777 1.770
Er 1.529 -6.658 6.678
```

=====

Computed, not measured: a relaxed Y4Pb2N crystal at the PBE level of DFT.

## Properties
- Raw formation energy: -5.75 eV per formula unit
- Total energy: -0.49718 Ry/atom
- Relative energy among the computed polymorphs: 53 meV per atom

```
14
Lattice="-5.948 -0.630 2.708 2.853 -0.425 6.168 2.449 8.884 -0.520" Properties=species:S:1:pos:R:3 pbc="T T T"
Y 2.525 2.690 4.655
N 0.900 1.347 5.315
Pb -1.298 4.414 6.542
Pb -1.911 -0.486 6.488
Y -0.981 1.957 4.371
Pb 1.265 8.315 1.867
Y -4.320 -0.229 3.861
Y 0.335 5.872 3.984
Y -3.172 5.139 3.700
N -1.546 6.482 3.041
Y -1.073 6.082 0.940
Y 3.673 8.058 4.494
Pb 0.652 3.415 1.813
Y 0.427 1.747 7.416
```

=====

Computed, not measured: a relaxed Sr2Mg6AlZn crystal at the PBE level of DFT.

## Properties
- Calculated formation energy: 0.0 kcal/mol of atoms
- Total energy: -0.13201 Ry/atom

```
10
Lattice="-1.901 -1.865 7.136 -6.644 -1.549 -2.167 -2.928 -6.723 1.914" Properties=species:S:1:pos:R:3 pbc="T T T"
Mg -3.478 -4.008 1.555
Sr -6.967 -5.586 1.663
Mg -9.618 -8.774 5.285
Mg -5.749 -7.919 6.491
Mg -1.855 -1.363 1.597
Sr -4.506 -4.550 5.219
Mg -7.995 -6.129 5.327
Zn -4.273 -1.707 2.484
Al 0.000 0.000 0.000
Mg -5.725 -2.218 0.392
```

=====

Computed, not measured: a relaxed Te2IrI crystal at the PBE level of DFT.

## Properties
- Raw formation energy: 0.23 eV per formula unit
- Total energy: -0.30249 Ry/atom
- Relative energy among the computed polymorphs: 239 meV per atom

```
16
Lattice="17.000 0.000 0.497 0.000 5.647 0.000 -5.914 0.000 5.382" Properties=species:S:1:pos:R:3 pbc="T T T"
Te -0.285 1.017 1.046
Te 12.836 2.148 3.416
Ir 7.031 0.155 3.066
Ir 4.055 5.493 2.813
I 1.818 4.021 2.501
I 7.361 4.450 5.440
Ir 1.488 2.669 0.126
I 3.725 1.198 0.438
Ir 9.599 2.979 5.753
Te 5.258 1.807 3.986
Te 5.828 3.841 1.893
Te -1.750 3.499 2.462
I 9.268 1.626 3.378
Te 11.371 4.631 4.832
Te 3.793 4.972 5.402
Te 7.293 0.676 0.477
```

=====

Computed, not measured: a relaxed La3Ta crystal at the PBE level of DFT.

## Properties
- Calculated formation energy: 12.9 kcal/mol of atoms
- Total energy: -0.44823 Ry/atom

```
8
Lattice="6.159 0.000 0.000 0.000 6.159 0.000 0.000 0.000 6.159" Properties=species:S:1:pos:R:3 pbc="T T T"
La 3.079 0.000 1.540
La 0.000 4.619 3.079
La 0.000 1.540 3.079
Ta 0.000 0.000 0.000
La 1.540 3.079 0.000
La 4.619 3.079 0.000
La 3.079 0.000 4.619
Ta 3.079 3.079 3.079
```

=====

Computed, not measured: a relaxed Be2Ni3 crystal at the PBE level of DFT.

## Properties
- Calculated formation energy: -8.7 kcal/mol of atoms
- Total energy: -0.39227 Ry/atom

```
10
Lattice="-1.414 1.382 1.645 -2.047 -1.465 -0.529 3.557 -8.717 10.381" Properties=species:S:1:pos:R:3 pbc="T T T"
Ni 1.106 -2.710 3.227
Ni 0.433 -1.062 1.265
Ni 2.452 -6.008 7.154
Be -0.971 -1.902 2.775
Ni -1.731 -0.041 0.558
Ni 1.779 -4.359 5.190
Be 0.386 -5.228 6.734
Ni 3.124 -7.655 9.116
Be 1.067 -6.897 8.723
Be -0.290 -3.572 4.763
```

=====

Computed, not measured: a relaxed Sc3Pb2 crystal at the PBE level of DFT.

## Properties
- Calculated formation energy: -4.5 kcal/mol of atoms
- Total energy: -0.40259 Ry/atom

```
5
Lattice="12.220 -1.738 -0.020 12.220 1.738 -0.020 11.977 0.000 2.980" Properties=species:S:1:pos:R:3 pbc="T T T"
Pb 21.908 0.000 1.769
Sc 0.000 0.000 0.000
Pb 14.508 0.000 1.171
Sc 29.102 0.000 2.350
Sc 7.315 0.000 0.591
```

=====

Computed, not measured: a relaxed LiCuAs2 crystal at the PBE level of DFT.

## Properties
- Calculated formation energy: -1.2 kcal/mol of atoms
- Total energy: -0.28514 Ry/atom
- Relative energy among the computed polymorphs: 139 meV per atom

```
4
Lattice="0.000 3.171 3.171 3.171 0.000 3.171 3.171 3.171 0.000" Properties=species:S:1:pos:R:3 pbc="T T T"
As 4.757 4.757 4.757
Cu 3.171 3.171 3.171
Li 0.000 0.000 0.000
As 1.586 1.586 1.586
```